Density functional theory data (PBE-GGA) for a geometry-optimized Tb2CePr6Y structure.

**VASP energy**: -4.80 eV/atom
**ΔH_f (0 K)**: 0.23 eV/atom
**Symmetry**: C2/m (12)

Unit cell a=8.950 b=7.151 c=6.692 alpha=122.29 beta=100.97 gamma=90.00
Last column: magnetic moment on the atom in μB.
Fractional coordinates of all 10 atoms:
Y 0.500 0.000 0.000  -0.01
Ce 0.000 0.500 0.000  0.80
Pr 0.797 0.940 0.346  0.01
Pr 0.583 0.375 0.749  0.01
Pr 0.797 0.406 0.346  0.01
Pr 0.417 0.625 0.251  0.01
Tb 0.161 0.091 0.183  0.02
Pr 0.203 0.060 0.654  0.01
Tb 0.839 0.909 0.817  0.02
Pr 0.203 0.594 0.654  0.01



Density functional theory data (PBE-GGA) for a geometry-optimized TbCePrY structure.

**VASP energy**: -5.28 eV/atom
**ΔH_f (0 K)**: 0.17 eV/atom
**Symmetry**: F-43m (216)

Unit cell a=5.730 b=5.730 c=5.730 alpha=60.00 beta=60.00 gamma=60.00
Last column: magnetic moment on the atom in μB.
Fractional coordinates of all 4 atoms:
Tb 0.500 0.500 0.500  0.02
Pr 0.750 0.750 0.750  0.01
Y 0.000 0.000 0.000  0.02
Ce 0.250 0.250 0.250  0.70



Density functional theory data (PBE-GGA) for a geometry-optimized TbCePrZr structure.

**VASP energy**: -5.73 eV/atom
**ΔH_f (0 K)**: 0.24 eV/atom
**Symmetry**: F-43m (216)

Unit cell a=5.504 b=5.504 c=5.504 alpha=60.00 beta=60.00 gamma=60.00
Last column: magnetic moment on the atom in μB.
Fractional coordinates of all 4 atoms:
Pr 0.250 0.250 0.250  -0.01
Ce 0.750 0.750 0.750  0.44
Tb 0.500 0.500 0.500  0.01
Zr 0.000 0.000 0.000  0.04



Density functional theory data (PBE-GGA) for a geometry-optimized CePrTc structure.

**VASP energy**: -6.84 eV/atom
**ΔE to the lowest computed polymorph**: 0.2165 eV/atom
**ΔH_f (0 K)**: 0.19 eV/atom
**Symmetry**: F-43m (216)

Unit cell a=4.886 b=4.886 c=4.886 alpha=60.00 beta=60.00 gamma=60.00
Last column: magnetic moment on the atom in μB.
Fractional coordinates of all 3 atoms:
Pr 0.000 0.000 0.000  0.02
Ce 0.500 0.500 0.500  0.30
Tc 0.250 0.250 0.250  -0.06



Density functional theory data (PBE-GGA) for a geometry-optimized CePrTc structure.

**VASP energy**: -7.06 eV/atom
**ΔE to the lowest computed polymorph**: 0.0000 eV/atom
**ΔH_f (0 K)**: -0.03 eV/atom
**Symmetry**: P2_1/m (11)

Unit cell a=4.845 b=5.159 c=6.677 alpha=90.00 beta=98.98 gamma=90.00
Fractional coordinates of all 6 atoms:
Tc 0.143 0.250 0.929
Pr 0.091 0.750 0.663
Pr 0.909 0.250 0.337
Tc 0.857 0.750 0.071
Ce 0.428 0.750 0.183
Ce 0.572 0.250 0.817



Density functional theory data (PBE-GGA) for a geometry-optimized CePrTc structure.

**VASP energy**: -6.97 eV/atom
**ΔE to the lowest computed polymorph**: 0.0825 eV/atom
**ΔH_f (0 K)**: 0.05 eV/atom
**Symmetry**: I4mm (107)

Unit cell a=3.508 b=3.508 c=6.232 alpha=106.35 beta=106.35 gamma=90.00
Fractional coordinates of all 3 atoms:
Pr 0.008 0.008 0.016
Ce 0.309 0.309 0.619
Tc 0.682 0.682 0.365